Compound: Ba3YNp2O9
Source: Alexandria via LeMat-Bulk
Functional: PBE
Structure: relaxed

Calculated values
For the uncorrected formation energy, the calculation gives -3.056 eV/atom. The calculation puts the theoretical density at 7.248 Mg/m³. As for the space group: P-3m1 (164). The total energy is -8.572 eV per atom.

a = 6.226 Å, b = 6.226 Å, c = 7.635 Å
α = 90.00°, β = 90.00°, γ = 120.00°
Element x y z (fractional)
Ba 0.000 0.000 0.000
Ba 0.333 0.667 0.658
Ba 0.667 0.333 0.342
Y 0.000 0.000 0.500
Np 0.333 0.667 0.167
Np 0.667 0.333 0.833
O 0.000 0.500 0.000
O 0.170 0.341 0.329
O 0.170 0.830 0.329
O 0.341 0.170 0.671
O 0.500 0.000 0.000
O 0.500 0.500 0.000
O 0.659 0.830 0.329
O 0.830 0.170 0.671
O 0.830 0.659 0.671

Compound: Ba4YNp3O12
Source: Alexandria via LeMat-Bulk
Functional: PBE
Structure: relaxed

Calculated values
For the uncorrected formation energy, the calculation gives -3.031 eV/atom. The calculation puts the theoretical density at 7.451 Mg/m³. As for the space group: Im-3m (229). The total energy is -8.655 eV per atom.

a = 7.641 Å, b = 7.641 Å, c = 7.641 Å
α = 109.47°, β = 109.47°, γ = 109.47°
Element x y z (fractional)
Ba 0.000 0.000 0.500
Ba 0.000 0.500 0.000
Ba 0.500 0.000 0.000
Ba 0.500 0.500 0.500
Y 0.000 0.000 0.000
Np 0.000 0.500 0.500
Np 0.500 0.000 0.500
Np 0.500 0.500 0.000
O 0.000 0.256 0.256
O 0.000 0.744 0.744
O 0.250 0.500 0.750
O 0.250 0.750 0.500
O 0.256 0.000 0.256
O 0.256 0.256 0.000
O 0.500 0.250 0.750
O 0.500 0.750 0.250
O 0.744 0.000 0.744
O 0.744 0.744 0.000
O 0.750 0.250 0.500
O 0.750 0.500 0.250

Compound: BaNpZn2O6
Source: Alexandria via LeMat-Bulk
Functional: PBE
Structure: relaxed

Calculated values
For the uncorrected formation energy, the calculation gives -2.211 eV/atom. The calculation puts the theoretical density at 5.770 Mg/m³. As for the space group: C2/c (15). The total energy is -6.927 eV per atom.

a = 7.528 Å, b = 7.528 Å, c = 6.628 Å
α = 106.27°, β = 106.27°, γ = 86.49°
Element x y z (fractional)
Ba 0.099 0.901 0.750
Ba 0.901 0.099 0.250
Np 0.284 0.716 0.250
Np 0.716 0.284 0.750
Zn 0.236 0.366 0.869
Zn 0.366 0.236 0.369
Zn 0.634 0.764 0.631
Zn 0.764 0.634 0.131
O 0.007 0.756 0.286
O 0.212 0.640 0.928
O 0.244 0.993 0.214
O 0.281 0.418 0.204
O 0.360 0.788 0.572
O 0.418 0.281 0.704
O 0.582 0.719 0.296
O 0.640 0.212 0.428
O 0.719 0.582 0.796
O 0.756 0.007 0.786
O 0.788 0.360 0.072
O 0.993 0.244 0.714

Compound: BaZr2NpO8
Source: Alexandria via LeMat-Bulk
Functional: PBE
Structure: relaxed

Calculated values
For the uncorrected formation energy, the calculation gives -2.994 eV/atom. The calculation puts the theoretical density at 5.503 Mg/m³. As for the space group: C2/m (12). The total energy is -8.963 eV per atom.

a = 5.314 Å, b = 5.314 Å, c = 7.598 Å
α = 98.60°, β = 98.60°, γ = 79.04°
Element x y z (fractional)
Ba 0.000 0.000 0.000
Zr 0.450 0.450 0.782
Zr 0.550 0.550 0.218
Np 0.000 0.000 0.500
O 0.219 0.778 0.706
O 0.222 0.781 0.294
O 0.241 0.241 0.562
O 0.340 0.340 0.995
O 0.660 0.660 0.005
O 0.759 0.759 0.438
O 0.778 0.219 0.706
O 0.781 0.222 0.294

Compound: Ba4Zr3NpO12
Source: Alexandria via LeMat-Bulk
Functional: PBE
Structure: relaxed

Calculated values
For the uncorrected formation energy, the calculation gives -3.136 eV/atom. The calculation puts the theoretical density at 6.536 Mg/m³. As for the space group: Im-3m (229). The total energy is -8.425 eV per atom.

a = 7.448 Å, b = 7.448 Å, c = 7.448 Å
α = 109.47°, β = 109.47°, γ = 109.47°
Element x y z (fractional)
Ba 0.000 0.000 0.500
Ba 0.000 0.500 0.000
Ba 0.500 0.000 0.000
Ba 0.500 0.500 0.500
Zr 0.000 0.500 0.500
Zr 0.500 0.000 0.500
Zr 0.500 0.500 0.000
Np 0.000 0.000 0.000
O 0.000 0.255 0.255
O 0.000 0.745 0.745
O 0.250 0.500 0.750
O 0.250 0.750 0.500
O 0.255 0.000 0.255
O 0.255 0.255 0.000
O 0.500 0.250 0.750
O 0.500 0.750 0.250
O 0.745 0.000 0.745
O 0.745 0.745 0.000
O 0.750 0.250 0.500
O 0.750 0.500 0.250

Compound: BaNpP2
Source: Alexandria via LeMat-Bulk
Functional: PBE
Structure: relaxed

Calculated values
The calculation puts the theoretical density at 6.509 Mg/m³. As for the space group: R3m (160). The total energy is -7.226 eV per atom. For the excess energy over the best structure of this formula in the dataset, the calculation gives 1.44 kcal/mol of atoms.

a = 7.788 Å, b = 7.788 Å, c = 7.788 Å
α = 31.02°, β = 31.02°, γ = 31.02°
Element x y z (fractional)
Ba 0.000 0.000 0.000
Np 0.830 0.830 0.830
P 0.229 0.229 0.229
P 0.431 0.431 0.431

Compound: BaNpP2
Source: Alexandria via LeMat-Bulk
Functional: PBE
Structure: relaxed

Calculated values
The calculation puts the theoretical density at 6.554 Mg/m³. As for the space group: R-3m (166). The total energy is -7.288 eV per atom. For the excess energy over the best structure of this formula in the dataset, the calculation gives 0.00 kcal/mol of atoms.

a = 7.627 Å, b = 7.627 Å, c = 7.627 Å
α = 31.98°, β = 31.98°, γ = 31.98°
Element x y z (fractional)
Ba 0.000 0.000 0.000
Np 0.500 0.500 0.500
P 0.231 0.231 0.231
P 0.769 0.769 0.769

Compound: BaNpP
Source: Alexandria via LeMat-Bulk
Functional: PBE
Structure: relaxed

Calculated values
The calculation puts the theoretical density at 7.801 Mg/m³. As for the space group: C2/m (12). The total energy is -7.242 eV per atom.

a = 3.831 Å, b = 3.831 Å, c = 12.055 Å
α = 98.97°, β = 98.97°, γ = 90.00°
Element x y z (fractional)
Ba 0.154 0.154 0.313
Ba 0.846 0.846 0.687
Np 0.000 0.500 0.000
Np 0.500 0.000 0.000
P 0.414 0.414 0.825
P 0.586 0.586 0.175